Na2PWC: relaxed, PBE.

Cell: 5.9523 3.8629 5.9523 Å, 90.00 90.00 90.00°
Atoms (fractional coordinates):
Na  0.0000  0.0000  0.5000
Na  0.5000  0.0000  0.0000
P  0.5000  0.5000  0.5000
W  0.0000  0.0000  0.0000
C  0.0000  0.5000  0.0000

Properties
The formation energy is 1634 meV per atom. Its space-group type is P4/mmm (123).